A plane-wave DFT calculation with PBE was carried out for an optimized crystal structure of ZnPRh2Pb.

Output
**Final energy**: -0.2589 Ry/atom
**Calculated formation energy**: 1.50 eV/atom
**Size of the total moment**: 0.00 μB per atom
**Symmetry**: P4/mmm, No. 123

Cell: 5.0146 5.0146 4.8730 Å, 90.00 90.00 90.00°
Element x y z (fractional)
Zn  0.0000  0.0000  0.0000
P  0.5000  0.5000  0.0000
Rh  0.0000  0.5000  0.5000
Rh  0.5000  0.0000  0.5000
Pb  0.0000  0.0000  0.5000